A PBEsol-optimized structure of LaCuNi, computed with meta-GGA SCAN.

```
3
Lattice="-3.249 1.425 -1.384 -0.827 -3.647 -1.812 -1.321 0.745 3.869" Properties=species:S:1:pos:R:3 pbc="T T T"
Ni -2.616 -1.471 -0.610
Cu -1.624 0.712 -0.692
La -1.157 -0.719 1.975
```

Results
Energy, eV per cell: -75.174
Volume, Å³ per atom: 18.98
SG: P-6m2 (187)
Total moment, Bohr magnetons per cell: 0.0
DFT formation energy, eV/f.u.: -0.70

=====

A PBEsol-optimized structure of ReNiIr2, computed with meta-GGA SCAN.

```
4
Lattice="-1.548 1.158 1.877 -2.889 -0.035 -2.361 -1.410 -4.795 1.796" Properties=species:S:1:pos:R:3 pbc="T T T"
Re -2.923 -1.836 0.656
Ir -1.066 -3.623 1.357
Ir -0.345 -1.172 0.439
Ni -2.218 0.562 -0.242
```

Results
Energy relative to the lowest polymorph listed for this composition, eV/atom: 0.0000
Energy, eV per cell: -230.098
Volume, Å³ per atom: 13.35
SG: Pmmm (47)
Total moment, Bohr magnetons per cell: 0.1
DFT formation energy, eV/f.u.: -0.63

=====

A PBEsol-optimized structure of Ca2Zn2Bi, computed with meta-GGA SCAN.

```
5
Lattice="3.706 0.000 0.000 0.000 3.706 0.000 -1.853 -1.853 9.306" Properties=species:S:1:pos:R:3 pbc="T T T"
Zn 0.000 1.853 4.653
Zn 1.853 0.000 4.653
Ca 0.000 0.000 7.237
Ca 1.853 1.853 2.070
Bi 0.000 0.000 0.000
```

Results
Energy relative to the lowest polymorph listed for this composition, eV/atom: 0.0000
Energy, eV per cell: -126.748
Volume, Å³ per atom: 25.56
SG: I4/mmm (139)
Total moment, Bohr magnetons per cell: 0.0
DFT formation energy, eV/f.u.: -1.81

=====

A PBEsol-optimized structure of MnCr2GePt, computed with meta-GGA SCAN.

```
5
Lattice="4.153 0.000 0.000 0.000 4.153 0.000 0.000 0.000 4.696" Properties=species:S:1:pos:R:3 pbc="T T T"
Cr 0.000 2.077 0.000
Cr 2.077 0.000 0.000
Ge 2.077 2.077 2.348
Mn 0.000 0.000 0.000
Pt 0.000 0.000 2.348
```

Results
Energy, eV per cell: -140.586
Volume, Å³ per atom: 16.20
SG: P4/mmm (123)
Total moment, Bohr magnetons per cell: 3.8
DFT formation energy, eV/f.u.: 3.72

=====

A PBEsol-optimized structure of MnRh2W, computed with meta-GGA SCAN.

```
4
Lattice="2.674 0.000 0.000 0.000 4.608 0.026 -1.337 -0.794 4.354" Properties=species:S:1:pos:R:3 pbc="T T T"
Mn 0.000 2.304 0.013
Rh 0.000 0.781 2.211
Rh 1.337 3.032 2.169
W 1.337 0.000 0.000
```

Results
Energy relative to the lowest polymorph listed for this composition, eV/atom: 0.1757
Energy, eV per cell: -155.903
Volume, Å³ per atom: 13.43
SG: C2/m (12)
Total moment, Bohr magnetons per cell: 3.1
DFT formation energy, eV/f.u.: -0.42

=====

A PBEsol-optimized structure of TcTePbI2, computed with meta-GGA SCAN.

```
5
Lattice="-0.911 2.878 -5.025 -4.074 -4.017 -1.562 -4.211 3.250 2.624" Properties=species:S:1:pos:R:3 pbc="T T T"
Pb 0.000 0.000 0.000
I -2.105 1.625 1.312
I -2.037 -2.009 -0.781
Te -0.455 1.439 -2.512
Tc -4.598 1.055 -1.981
```

Results
Energy, eV per cell: -217.092
Uncorrected formation energy, eV per atom: 0.897
Volume, Å³ per atom: 41.24
SG: P4/mmm (123)
Total moment, Bohr magnetons per cell: 5.5

=====

- The highest energy belongs to which entry?
  LaCuNi

=====

- Which of these has the highest energy?
  LaCuNi